# 1
Compound: CsNa2ZnSn
Source: the Alexandria database
Functional: SCAN
Structure: single point on PBEsol structure

Computed properties:
E: -18.129 eV per atom

a b c (Å): 6.255 6.757 6.757
angles (deg): 90.00 90.00 90.00
Element x y z (fractional)
Cs 0.000 0.000 0.000
Na 0.000 0.500 0.000
Na 0.000 0.000 0.500
Zn 0.500 0.500 0.500
Sn 0.500 0.000 0.000

# 2
Compound: Cs3NaTc
Source: the Alexandria database
Functional: SCAN
Structure: single point on PBEsol structure

Computed properties:
E: -29.403 eV per atom

a b c (Å): 5.955 5.955 5.955
angles (deg): 90.00 90.00 90.00
Element x y z (fractional)
Cs 0.000 0.000 0.500
Cs 0.000 0.500 0.000
Cs 0.500 0.000 0.000
Na 0.500 0.500 0.500
Tc 0.000 0.000 0.000

# 3
Compound: CsNaTe2
Source: the Alexandria database
Functional: SCAN
Structure: single point on PBEsol structure

Computed properties:
Formation energy (no corrections): -3.4 eV per formula unit

a b c (Å): 5.965 5.965 10.993
angles (deg): 105.74 105.74 90.00
Element x y z (fractional)
Cs 0.000 0.000 0.000
Cs 0.250 0.750 0.500
Na 0.500 0.500 0.000
Na 0.750 0.250 0.500
Te 0.125 0.311 0.750
Te 0.625 0.439 0.750
Te 0.561 0.875 0.250
Te 0.689 0.375 0.250

# 4
Compound: Cs6Na4Tl13
Source: the Alexandria database
Functional: SCAN
Structure: single point on PBEsol structure

Computed properties:
E: -51.760 eV per atom

a b c (Å): 10.161 10.161 10.161
angles (deg): 109.47 109.47 109.47
Element x y z (fractional)
Tl 0.861 0.235 0.095
Tl 0.861 0.765 0.626
Tl 0.626 0.861 0.765
Tl 0.905 0.139 0.765
Tl 0.765 0.626 0.861
Tl 0.139 0.765 0.905
Tl 0.374 0.139 0.235
Tl 0.235 0.095 0.861
Tl 0.765 0.905 0.139
Tl 0.095 0.861 0.235
Tl 0.235 0.374 0.139
Tl 0.139 0.235 0.374
Tl 0.000 0.000 0.000
Cs 0.500 0.830 0.330
Cs 0.670 0.500 0.170
Cs 0.500 0.170 0.670
Cs 0.170 0.670 0.500
Cs 0.330 0.500 0.830
Cs 0.830 0.330 0.500
Na 0.500 0.000 0.000
Na 0.500 0.500 0.500
Na 0.000 0.500 0.000
Na 0.000 0.000 0.500

# 5
Compound: CsNa3Tl
Source: the Alexandria database
Functional: SCAN
Structure: single point on PBEsol structure

Computed properties:
E: -24.657 eV per atom

a b c (Å): 6.095 6.095 6.095
angles (deg): 90.00 90.00 90.00
Element x y z (fractional)
Tl 0.000 0.000 0.000
Na 0.000 0.500 0.000
Na 0.000 0.000 0.500
Na 0.500 0.000 0.000
Cs 0.500 0.500 0.500

# 6
Compound: CsNaY2W
Source: the Alexandria database
Functional: SCAN
Structure: single point on PBEsol structure

Computed properties:
E: -32.497 eV per atom

a b c (Å): 5.422 5.422 6.408
angles (deg): 90.00 90.00 90.00
Element x y z (fractional)
Y 0.000 0.500 0.000
Y 0.500 0.000 0.000
Na 0.500 0.500 0.500
W 0.000 0.000 0.000
Cs 0.000 0.000 0.500

# 7
Compound: Cs2NaZr2
Source: the Alexandria database
Functional: SCAN
Structure: single point on PBEsol structure

Computed properties:
E: -27.607 eV per atom

a b c (Å): 3.974 3.974 14.589
angles (deg): 97.83 97.83 90.00
Element x y z (fractional)
Zr 0.750 0.250 0.500
Zr 0.250 0.750 0.500
Cs 0.376 0.376 0.752
Cs 0.624 0.624 0.248
Na 0.000 0.000 0.000

# 8
Compound: Cs3NaZr
Source: the Alexandria database
Functional: SCAN
Structure: single point on PBEsol structure

Computed properties:
E: -28.639 eV per atom

a b c (Å): 7.047 7.047 7.047
angles (deg): 90.00 90.00 90.00
Element x y z (fractional)
Cs 0.500 0.000 0.000
Cs 0.000 0.000 0.500
Cs 0.000 0.500 0.000
Na 0.000 0.000 0.000
Zr 0.500 0.500 0.500

# 9
Compound: CsNd2Ti2NbO10
Source: the Alexandria database
Functional: SCAN
Structure: single point on PBEsol structure

Computed properties:
Formation energy (no corrections): -52.4 eV per formula unit

a b c (Å): 3.840 3.840 15.351
angles (deg): 89.84 89.84 89.83
Element x y z (fractional)
O 0.013 0.510 0.244
O 0.999 0.502 0.753
O 0.007 0.007 0.395
O 0.014 0.014 0.877
O 0.510 0.013 0.244
O 0.027 0.514 0.008
O 0.023 0.023 0.127
O 0.502 0.999 0.753
O 0.514 0.027 0.008
O 0.004 0.004 0.607
Nd 0.484 0.484 0.127
Nd 0.493 0.493 0.846
Nb 0.006 0.006 0.279
Cs 0.505 0.505 0.514
Ti 0.001 0.001 0.718
Ti 0.002 0.002 0.998

# 10
Compound: Cs2Nb2O
Source: the Alexandria database
Functional: SCAN
Structure: single point on PBEsol structure

Computed properties:
Formation energy (no corrections): 1.3 eV per formula unit

a b c (Å): 3.611 3.611 11.631
angles (deg): 98.93 98.93 90.00
Element x y z (fractional)
O 0.000 0.000 0.000
Cs 0.574 0.574 0.147
Cs 0.426 0.426 0.853
Nb 0.250 0.750 0.500
Nb 0.750 0.250 0.500

# 11
Compound: CsNb2Si8O24
Source: the Alexandria database
Functional: SCAN
Structure: single point on PBEsol structure

Computed properties:
Formation energy (no corrections): -88.2 eV per formula unit

a b c (Å): 7.537 9.065 9.782
angles (deg): 90.22 70.61 88.22
Element x y z (fractional)
O 0.631 0.108 0.325
O 0.301 0.605 0.663
O 0.547 0.600 0.210
O 0.110 0.095 0.813
O 0.909 0.602 0.191
O 0.766 0.258 0.778
O 0.234 0.902 0.966
O 0.699 0.395 0.337
O 0.890 0.905 0.187
O 0.648 0.694 0.541
O 0.369 0.892 0.675
O 0.232 0.598 0.953
O 0.234 0.742 0.222
O 0.992 0.713 0.925
O 0.459 0.108 0.819
O 0.639 0.230 0.562
O 0.352 0.306 0.459
O 0.008 0.287 0.075
O 0.766 0.098 0.034
O 0.541 0.892 0.181
O 0.768 0.402 0.047
O 0.361 0.770 0.438
O 0.453 0.400 0.790
O 0.091 0.398 0.809
Si 0.706 0.003 0.182
Si 0.428 0.742 0.579
Si 0.735 0.499 0.195
Si 0.574 0.248 0.737
Si 0.265 0.501 0.805
Si 0.294 0.997 0.818
Si 0.426 0.752 0.263
Si 0.572 0.258 0.421
Nb 0.082 0.758 0.100
Nb 0.918 0.242 0.900
Cs 0.000 0.500 0.500

# 12
Compound: CsNbOsRu2
Source: the Alexandria database
Functional: SCAN
Structure: single point on PBEsol structure

Computed properties:
E: -40.201 eV per atom

a b c (Å): 4.681 4.681 5.278
angles (deg): 90.00 90.00 90.00
Element x y z (fractional)
Cs 0.000 0.000 0.500
Nb 0.500 0.500 0.500
Ru 0.000 0.500 0.000
Ru 0.500 0.000 0.000
Os 0.000 0.000 0.000

# 13
Compound: CsNb2PSe10
Source: the Alexandria database
Functional: SCAN
Structure: single point on PBEsol structure

Computed properties:
Formation energy (no corrections): -9.6 eV per formula unit

a b c (Å): 7.768 13.529 14.746
angles (deg): 98.52 90.00 90.00
Element x y z (fractional)
Se 0.592 0.098 0.401
Se 0.860 0.264 0.496
Se 0.063 0.726 0.992
Se 0.157 0.450 0.988
Se 0.579 0.063 0.864
Se 0.873 0.502 0.996
Se 0.127 0.002 0.996
Se 0.419 0.316 0.364
Se 0.370 0.204 0.703
Se 0.158 0.730 0.248
Se 0.848 0.948 0.244
Se 0.630 0.460 0.206
Se 0.421 0.563 0.864
Se 0.847 0.189 0.740
Se 0.370 0.960 0.206
Se 0.153 0.689 0.740
Se 0.939 0.985 0.495
Se 0.595 0.344 0.896
Se 0.405 0.844 0.896
Se 0.152 0.448 0.244
Se 0.833 0.469 0.386
Se 0.150 0.971 0.744
Se 0.581 0.816 0.364
Se 0.937 0.226 0.992
Se 0.857 0.711 0.495
Se 0.843 0.950 0.988
Se 0.884 0.658 0.237
Se 0.850 0.471 0.744
Se 0.124 0.398 0.733
Se 0.116 0.158 0.237
Se 0.630 0.704 0.703
Se 0.408 0.598 0.401
Se 0.167 0.969 0.386
Se 0.143 0.211 0.495
Se 0.061 0.485 0.495
Se 0.876 0.898 0.733
Se 0.835 0.708 0.883
Se 0.842 0.230 0.248
Se 0.165 0.208 0.883
Se 0.140 0.764 0.496
Nb 0.938 0.353 0.867
Nb 0.938 0.817 0.366
Nb 0.067 0.612 0.371
Nb 0.932 0.058 0.863
Nb 0.933 0.112 0.371
Nb 0.062 0.317 0.366
Nb 0.068 0.558 0.863
Nb 0.062 0.853 0.867
Cs 0.513 0.954 0.593
Cs 0.465 0.214 0.091
Cs 0.535 0.714 0.091
Cs 0.487 0.454 0.593
P 0.420 0.702 0.800
P 0.420 0.457 0.302
P 0.580 0.202 0.800
P 0.580 0.957 0.302

# 14
Compound: CsNbPb2
Source: the Alexandria database
Functional: SCAN
Structure: single point on PBEsol structure

Computed properties:
E: -54.931 eV per atom

a b c (Å): 5.500 5.500 5.500
angles (deg): 60.00 60.00 60.00
Element x y z (fractional)
Cs 0.500 0.500 0.500
Pb 0.250 0.250 0.250
Pb 0.750 0.750 0.750
Nb 0.000 0.000 0.000

# 15
Compound: CsNbPd3
Source: the Alexandria database
Functional: SCAN
Structure: single point on PBEsol structure

Computed properties:
E: -33.167 eV per atom

a b c (Å): 4.982 4.982 4.982
angles (deg): 90.00 90.00 90.00
Element x y z (fractional)
Pd 0.000 0.500 0.000
Pd 0.000 0.000 0.500
Pd 0.500 0.000 0.000
Cs 0.500 0.500 0.500
Nb 0.000 0.000 0.000

# 16
Compound: CsNb3Pd
Source: the Alexandria database
Functional: SCAN
Structure: single point on PBEsol structure

Computed properties:
E: -32.342 eV per atom

a b c (Å): 4.986 4.986 4.986
angles (deg): 90.00 90.00 90.00
Element x y z (fractional)
Pd 0.000 0.000 0.000
Nb 0.000 0.000 0.500
Nb 0.000 0.500 0.000
Nb 0.500 0.000 0.000
Cs 0.500 0.500 0.500

# 17
Compound: CsRbNb2Pd
Source: the Alexandria database
Functional: SCAN
Structure: single point on PBEsol structure

Computed properties:
E: -30.402 eV per atom

a b c (Å): 5.026 5.026 6.495
angles (deg): 90.00 90.00 90.00
Element x y z (fractional)
Rb 0.000 0.000 0.500
Nb 0.000 0.500 0.000
Nb 0.500 0.000 0.000
Cs 0.500 0.500 0.500
Pd 0.000 0.000 0.000

# 18
Compound: CsSrNb2Pd
Source: the Alexandria database
Functional: SCAN
Structure: single point on PBEsol structure

Computed properties:
E: -30.621 eV per atom

a b c (Å): 5.016 5.016 6.198
angles (deg): 90.00 90.00 90.00
Element x y z (fractional)
Cs 0.000 0.000 0.500
Sr 0.500 0.500 0.500
Nb 0.000 0.500 0.000
Nb 0.500 0.000 0.000
Pd 0.000 0.000 0.000

# 19
Compound: CsTiNb2Re
Source: the Alexandria database
Functional: SCAN
Structure: single point on PBEsol structure

Computed properties:
E: -35.076 eV per atom

a b c (Å): 4.652 4.912 4.912
angles (deg): 90.00 90.00 90.00
Element x y z (fractional)
Nb 0.000 0.000 0.500
Nb 0.000 0.500 0.000
Ti 0.500 0.000 0.000
Cs 0.000 0.000 0.000
Re 0.500 0.500 0.500

# 20
Compound: CsNb3S
Source: the Alexandria database
Functional: SCAN
Structure: single point on PBEsol structure

Computed properties:
Formation energy (no corrections): 14.7 eV per formula unit

a b c (Å): 4.981 4.981 4.981
angles (deg): 90.00 90.00 90.00
Element x y z (fractional)
Cs 0.000 0.000 0.000
Nb 0.500 0.000 0.000
Nb 0.000 0.000 0.500
Nb 0.000 0.500 0.000
S 0.500 0.500 0.500